P | Density functional theory data (PBE-GGA) for a relaxed Li2ScAg crystal.

Structure (POSCAR):
```
Li2ScAg
1.0
-4.166 -2.742 -0.507
1.072 -1.987 1.934
-2.065 2.390 4.046
Ag Li Sc
1 2 1
Cartesian
-2.828 -1.069 4.232
-1.000 0.444 5.820
-0.489 0.161 3.150
-2.331 -1.270 1.242
```

Output
V = 19.098 A^3/atom
Symmetry = P2/m (10)
Density of states at the Fermi level = 2.38 states/eV per cell

---

Q | Density functional theory data (PBE-GGA) for a relaxed Li2ScAg crystal.

Structure (POSCAR):
```
Li2ScAg
1.0
5.271 0.030 0.000
2.069 4.848 0.000
-3.670 -2.439 2.892
Ag Li Sc
1 2 1
Cartesian
2.635 0.015 1.446
0.000 0.000 0.000
3.670 2.439 0.000
1.035 2.424 1.446
```

Output
V = 18.429 A^3/atom
Symmetry = I4/mmm (139)
Density of states at the Fermi level = 2.21 states/eV per cell

---

R | Density functional theory data (PBE-GGA) for a relaxed Li2ScAg crystal.

Structure (POSCAR):
```
Li2ScAg
1.0
9.703 -0.016 -0.010
9.226 3.005 -0.010
9.226 1.457 2.628
Ag Li Sc
1 2 1
Cartesian
21.117 3.334 1.957
0.273 0.043 0.025
13.805 2.180 1.279
7.039 1.111 0.652
```

Output
V = 19.326 A^3/atom
Symmetry = R-3m (166)
Density of states at the Fermi level = 3.00 states/eV per cell

---

Energy ordering: Q at the bottom, the next structure 10 meV per atom above.

---

P | Density functional theory data (PBE-GGA) for a relaxed LiSc2Ag2 crystal.

Structure (POSCAR):
```
LiSc2Ag2
1.0
-0.018 1.825 3.351
-1.194 -3.185 1.729
6.639 -2.761 3.711
Sc Ag Li
2 2 1
Cartesian
0.872 -1.104 2.779
4.555 -3.016 6.012
3.008 -0.808 4.801
2.419 -3.313 3.990
0.000 0.000 0.000
```

Output
V = 22.214 A^3/atom
Symmetry = I4/mmm (139)
Density of states at the Fermi level = 7.04 states/eV per cell

---

Q | Density functional theory data (PBE-GGA) for a relaxed LiSc2Ag2 crystal.

Structure (POSCAR):
```
LiSc2Ag2
1.0
7.822 0.000 0.000
0.000 7.822 0.000
0.000 0.000 3.443
Sc Ag Li
4 4 2
Cartesian
1.257 5.169 1.721
5.169 6.565 1.721
6.565 2.654 1.721
2.654 1.257 1.721
2.852 6.763 0.000
6.763 4.971 0.000
4.971 1.059 0.000
1.059 2.852 0.000
0.000 0.000 0.000
3.911 3.911 0.000
```

Output
V = 21.067 A^3/atom
Symmetry = P4/mbm (127)
Density of states at the Fermi level = 10.80 states/eV per cell

---

Energy ordering: Q at the bottom, the next structure 323 meV per atom above.

---

P | Density functional theory data (PBE-GGA) for a relaxed LiAg2Se2 crystal.

Structure (POSCAR):
```
LiAg2Se2
1.0
4.109 0.000 0.000
0.000 4.109 0.000
2.054 2.054 6.569
Se Ag Li
2 2 1
Cartesian
2.054 2.054 1.465
4.109 4.109 5.104
4.109 2.054 3.285
2.054 4.109 3.285
0.000 0.000 0.000
```

Output
V = 22.182 A^3/atom
Symmetry = I4/mmm (139)
Density of states at the Fermi level = 5.02 states/eV per cell

---

Q | Density functional theory data (PBE-GGA) for a relaxed LiAg2Se2 crystal.

Structure (POSCAR):
```
LiAg2Se2
1.0
-2.952 2.809 -0.824
-2.631 -3.237 -1.610
0.253 -0.700 7.201
Li Ag Se
1 2 2
Cartesian
0.000 0.000 0.000
-1.370 -0.493 3.229
-3.961 -0.635 1.538
-2.106 1.178 1.071
-3.225 -2.306 3.695
```

Output
V = 24.407 A^3/atom
Symmetry = Immm (71)
Density of states at the Fermi level = 3.00 states/eV per cell

---

Energy ordering: Q at the bottom, the next structure 67 meV per atom above.

---

P | Density functional theory data (PBE-GGA) for a relaxed LiAg2Se2 crystal.

Structure (POSCAR):
```
LiAg2Se2
1.0
7.401 0.000 0.000
0.000 7.401 0.000
0.000 0.000 3.721
Se Ag Li
4 4 2
Cartesian
2.412 6.112 0.000
6.112 4.990 0.000
4.990 1.289 0.000
1.289 2.412 0.000
1.000 4.701 1.860
4.701 6.401 1.860
6.401 2.701 1.860
2.701 1.000 1.860
0.000 0.000 0.000
3.701 3.701 0.000
```

Output
V = 20.383 A^3/atom
Symmetry = P4/mbm (127)
Density of states at the Fermi level = 5.15 states/eV per cell

---

Q | Density functional theory data (PBE-GGA) for a relaxed LiAg2Se2 crystal.

Structure (POSCAR):
```
LiAg2Se2
1.0
5.190 0.000 0.000
0.000 5.190 0.000
2.595 2.595 4.267
Se Ag Li
2 2 1
Cartesian
5.190 2.595 2.134
2.595 5.190 2.134
2.595 2.595 1.479
5.190 5.190 2.788
0.000 0.000 0.000
```

Output
V = 22.992 A^3/atom
Symmetry = I4/mmm (139)
Density of states at the Fermi level = 1.55 states/eV per cell

---

Energy ordering: P at the bottom, the next structure 77 meV per atom above.

---

P | Density functional theory data (PBE-GGA) for a relaxed Li2AgSe2 crystal.

Structure (POSCAR):
```
Li2AgSe2
1.0
7.121 0.000 0.000
0.000 7.121 0.000
0.000 0.000 3.842
Se Ag Li
4 2 4
Cartesian
2.391 5.951 0.000
5.951 4.730 0.000
4.730 1.170 0.000
1.170 2.391 0.000
0.000 0.000 0.000
3.561 3.561 0.000
1.010 4.571 1.921
4.571 6.111 1.921
6.111 2.550 1.921
2.550 1.010 1.921
```

Output
V = 19.485 A^3/atom
Symmetry = P4/mbm (127)
Density of states at the Fermi level = 4.83 states/eV per cell

---

Q | Density functional theory data (PBE-GGA) for a relaxed Li2AgSe2 crystal.

Structure (POSCAR):
```
Li2AgSe2
1.0
-0.324 6.930 -3.681
0.606 -3.651 -6.927
-2.902 -0.211 -0.142
Se Ag Li
4 2 4
Cartesian
-1.099 -1.364 -5.371
-1.168 1.540 -8.277
-1.521 4.431 -5.379
-1.452 1.527 -2.474
0.000 0.000 0.000
0.141 1.639 -5.304
0.408 -0.607 -7.406
0.098 3.746 -7.561
-0.126 3.886 -3.202
0.184 -0.468 -3.047
```

Output
V = 17.965 A^3/atom
Symmetry = P4/mbm (127)
Density of states at the Fermi level = 1.43 states/eV per cell

---

Energy ordering: P at the bottom, the next structure 64 meV per atom above.

---

P | Density functional theory data (PBE-GGA) for a relaxed Li3SiAg crystal.

Structure (POSCAR):
```
Li3SiAg
1.0
-2.119 4.174 -0.388
-2.839 -1.749 -3.309
-3.085 -1.258 3.312
Si Ag Li
1 1 3
Cartesian
-4.021 0.584 -0.192
0.000 0.000 0.000
-1.420 -0.874 -1.654
-1.542 -0.629 1.656
-1.060 2.087 -0.194
```

Output
V = 20.732 A^3/atom
Symmetry = Pm-3m (221)
Density of states at the Fermi level = 2.27 states/eV per cell

---

Q | Density functional theory data (PBE-GGA) for a relaxed Li3SiAg crystal.

Structure (POSCAR):
```
Li3SiAg
1.0
4.736 0.000 0.000
0.000 4.736 0.000
0.000 0.000 4.736
Si Ag Li
1 1 3
Cartesian
0.000 0.000 0.000
2.368 2.368 2.368
0.000 2.368 0.000
0.000 0.000 2.368
2.368 0.000 0.000
```

Output
V = 21.246 A^3/atom
Symmetry = Pm-3m (221)
Density of states at the Fermi level = 0.97 states/eV per cell

---

Energy ordering: Q at the bottom, the next structure 118 meV per atom above.